Compound: AlMo
Source: OQMD
Functional: PBE
Structure: optimized geometry

Computed properties:
- SG: P6_3/mmc, No. 194
- Total energy: -6.720 eV/atom

Unit cell a=3.8601 b=3.8601 c=5.2993 alpha=90.00 beta=90.00 gamma=120.00
Site moments in Bohr magnetons follow the coordinates.
Element x y z (fractional)
1 Al 0.0000 0.0000 0.0000  0.00
2 Al 0.0000 0.0000 0.5000  0.00
3 Mo 0.3333 0.6667 0.2500  0.20
4 Mo 0.6667 0.3333 0.7500  0.20

***

Compound: Al3Mo
Source: OQMD
Functional: PBE
Structure: optimized geometry

Computed properties:
- SG: Fm-3m, No. 225
- Total energy: -5.380 eV/atom

Unit cell a=4.4308 b=4.4308 c=4.4308 alpha=60.00 beta=60.00 gamma=60.00
Element x y z (fractional)
1 Al 0.0000 0.0000 0.0000
2 Al 0.2500 0.2500 0.2500
3 Al 0.7500 0.7500 0.7500
4 Mo 0.5000 0.5000 0.5000

***

Compound: AlMo
Source: OQMD
Functional: PBE
Structure: optimized geometry

Computed properties:
- SG: Fm-3m, No. 225
- Total energy: -6.790 eV/atom

Unit cell a=3.6120 b=3.6120 c=3.6120 alpha=60.00 beta=60.00 gamma=60.00
Element x y z (fractional)
1 Al 0.0000 0.0000 0.0000
2 Mo 0.5000 0.5000 0.5000

***

Compound: AlMo2
Source: OQMD
Functional: PBE
Structure: optimized geometry

Computed properties:
- SG: Fd-3m, No. 227
- Energy above the lowest structure with this stoichiometry: 3285.6 meV per atom

Unit cell a=8.2464 b=8.2464 c=8.2464 alpha=60.00 beta=60.00 gamma=60.00
Site moments in Bohr magnetons follow the coordinates.
Element x y z (fractional)
1 Al 0.2500 0.2500 0.2500  -0.08
2 Al 0.5000 0.5000 0.5000  -0.08
3 Mo 0.3750 0.3750 0.3750  3.14
4 Mo 0.8750 0.3750 0.3750  3.11
5 Mo 0.3750 0.8750 0.3750  3.20
6 Mo 0.3750 0.3750 0.8750  3.15

***

Compound: AlMo
Source: OQMD
Functional: PBE
Structure: optimized geometry

Computed properties:
- SG: Fd-3m, No. 227
- Total energy: -7.492 eV/atom

Unit cell a=4.4050 b=4.4050 c=4.4050 alpha=60.00 beta=60.00 gamma=60.00
Element x y z (fractional)
1 Al 0.0000 0.0000 0.0000
2 Al 0.2500 0.2500 0.2500
3 Mo 0.5000 0.5000 0.5000
4 Mo 0.7500 0.7500 0.7500

***

Compound: AlMo
Source: OQMD
Functional: PBE
Structure: optimized geometry

Computed properties:
- SG: F-43m, No. 216
- Total energy: -5.306 eV/atom

Unit cell a=4.0601 b=4.0601 c=4.0601 alpha=60.00 beta=60.00 gamma=60.00
Site moments in Bohr magnetons follow the coordinates.
Element x y z (fractional)
1 Al 0.0000 0.0000 0.0000  -0.01
2 Mo 0.2500 0.2500 0.2500  0.97

***

Compound: AlMo4N3
Source: OQMD
Functional: PBE
Structure: optimized geometry

Computed properties:
- SG: P6_3/mmc, No. 194
- Total energy: -9.136 eV/atom

Unit cell a=2.8435 b=2.8435 c=26.1339 alpha=90.00 beta=90.00 gamma=120.00
Element x y z (fractional)
1 Al 0.3333 0.6667 0.2500
2 Al 0.6667 0.3333 0.7500
3 Mo 0.3333 0.6667 0.0557
4 Mo 0.0000 0.0000 0.1652
5 Mo 0.0000 0.0000 0.3348
6 Mo 0.3333 0.6667 0.4443
7 Mo 0.6667 0.3333 0.5557
8 Mo 0.0000 0.0000 0.6652
9 Mo 0.0000 0.0000 0.8348
10 Mo 0.6667 0.3333 0.9443
11 N 0.0000 0.0000 0.0000
12 N 0.6667 0.3333 0.1125
13 N 0.6667 0.3333 0.3875
14 N 0.0000 0.0000 0.5000
15 N 0.3333 0.6667 0.6125
16 N 0.3333 0.6667 0.8875

***

Compound: Al2MoN
Source: OQMD
Functional: PBE
Structure: optimized geometry

Computed properties:
- SG: P6_3/mmc, No. 194
- Total energy: -7.120 eV/atom

Unit cell a=2.8689 b=2.8689 c=13.6844 alpha=90.00 beta=90.00 gamma=120.00
Element x y z (fractional)
1 Al 0.3333 0.6667 0.0877
2 Al 0.3333 0.6667 0.4123
3 Al 0.6667 0.3333 0.5877
4 Al 0.6667 0.3333 0.9123
5 Mo 0.6667 0.3333 0.2500
6 Mo 0.3333 0.6667 0.7500
7 N 0.0000 0.0000 0.0000
8 N 0.0000 0.0000 0.5000

***

| no. | calculated density (g/cm3) |
| --- | --- |
| 1 | 5.970 |
| 2 | 4.775 |
| 3 | 6.126 |
| 4 | 1.833 |
| 5 | 6.754 |
| 6 | 4.313 |
| 7 | 8.217 |
| 8 | 5.581 |